Record 1
# SCAN Sr2ZnTe, PBEsol geometry
# ΔE_f (raw) (eV/atom): -0.71
data_Sr2ZnTe
_space_group_name_H-M_alt 'F m -3 m'
_space_group_IT_number 225
_space_group_name_Hall '-F 4 2 3'
_cell_length_a 7.8783
_cell_length_b 7.8783
_cell_length_c 7.8783
_cell_angle_alpha 90.00
_cell_angle_beta 90.00
_cell_angle_gamma 90.00
loop_
_atom_site_label
_atom_site_fract_x
_atom_site_fract_y
_atom_site_fract_z
Sr1 0.2500 0.2500 0.2500
Zn1 0.0000 0.0000 0.0000
Te1 0.0000 0.0000 0.5000

Record 2
# SCAN CaLaTe2S, PBEsol geometry
# ΔE_f (raw) (eV/atom): 0.08
data_CaLaTe2S
_space_group_name_H-M_alt 'P 4/m m m'
_space_group_IT_number 123
_space_group_name_Hall '-P 4 2'
_cell_length_a 5.7246
_cell_length_b 5.7246
_cell_length_c 15.9378
_cell_angle_alpha 90.00
_cell_angle_beta 90.00
_cell_angle_gamma 90.00
loop_
_atom_site_label
_atom_site_fract_x
_atom_site_fract_y
_atom_site_fract_z
Ca1 0.0000 0.0000 0.0000
La1 0.0000 0.0000 0.5000
Te1 0.0000 0.5000 0.5000
S1 0.5000 0.5000 0.0000

Record 3
# SCAN ZnP2I, PBEsol geometry
# ΔE_f (raw) (eV/atom): 1.09
data_ZnP2I
_space_group_name_H-M_alt 'F m -3 m'
_space_group_IT_number 225
_space_group_name_Hall '-F 4 2 3'
_cell_length_a 6.6730
_cell_length_b 6.6730
_cell_length_c 6.6730
_cell_angle_alpha 90.00
_cell_angle_beta 90.00
_cell_angle_gamma 90.00
loop_
_atom_site_label
_atom_site_fract_x
_atom_site_fract_y
_atom_site_fract_z
Zn1 0.0000 0.0000 0.0000
P1 0.2500 0.2500 0.2500
I1 0.0000 0.0000 0.5000

Record 4
# SCAN Sc2MnCl, PBEsol geometry
# ΔE_f (raw) (eV/atom): -0.53
data_Sc2MnCl
_space_group_name_H-M_alt 'P 4 m m'
_space_group_IT_number 99
_cell_length_a 3.0889
_cell_length_b 3.0889
_cell_length_c 8.6903
_cell_angle_alpha 90.00
_cell_angle_beta 90.00
_cell_angle_gamma 90.00
loop_
_space_group_symop_operation_xyz
'x,y,z'
'-y,x,z'
'-x,-y,z'
'y,-x,z'
'-x,y,z'
'y,x,z'
'x,-y,z'
'-y,-x,z'
loop_
_atom_site_label
_atom_site_fract_x
_atom_site_fract_y
_atom_site_fract_z
Sc1 0.0000 0.0000 0.0000
Sc2 0.5000 0.5000 0.2970
Mn1 0.0000 0.0000 0.5026
Cl1 0.5000 0.5000 0.8267

Record 5
# SCAN LiAg2F4, PBEsol geometry
# ΔE_f (raw) (eV/atom): -1.70
data_LiAg2F4
_space_group_name_H-M_alt 'P 1 21/c 1'
_space_group_IT_number 14
_cell_length_a 6.1977
_cell_length_b 6.7775
_cell_length_c 10.6070
_cell_angle_alpha 90.00
_cell_angle_beta 120.43
_cell_angle_gamma 90.00
loop_
_space_group_symop_operation_xyz
'x,y,z'
'-x,-y,-z'
'-x,y+1/2,-z+1/2'
'x,-y+1/2,z+1/2'
loop_
_atom_site_label
_atom_site_fract_x
_atom_site_fract_y
_atom_site_fract_z
Li1 0.2024 0.2091 0.0549
Ag1 0.0287 0.5542 0.7595
Ag2 0.3565 0.6844 0.0500
F1 0.0826 0.6794 0.1192
F2 0.2203 0.2133 0.2357
F3 0.2389 0.5285 0.4837
F4 0.4547 0.1194 0.5772

Record 6
# SCAN Zn2CrCu, PBEsol geometry
# ΔE_f (meV/atom): 125
data_Zn2CrCu
_space_group_name_H-M_alt 'P 1 m 1'
_space_group_IT_number 6
_cell_length_a 2.5169
_cell_length_b 4.0565
_cell_length_c 5.0085
_cell_angle_alpha 90.00
_cell_angle_beta 100.76
_cell_angle_gamma 90.00
loop_
_space_group_symop_operation_xyz
'x,y,z'
'x,-y,z'
loop_
_atom_site_label
_atom_site_fract_x
_atom_site_fract_y
_atom_site_fract_z
Zn1 0.0000 0.0000 0.0000
Zn2 0.0255 0.5000 0.2844
Cr1 0.6318 0.0000 0.5002
Cu1 0.3399 0.5000 0.7811

Record 7
# SCAN K2CdSb2, PBEsol geometry
# ΔE_f (raw) (eV/atom): -0.39
data_K2CdSb2
_space_group_name_H-M_alt 'P 4/m b m'
_space_group_IT_number 127
_space_group_name_Hall '-P 4 2ab'
_cell_length_a 7.6268
_cell_length_b 7.6268
_cell_length_c 5.6073
_cell_angle_alpha 90.00
_cell_angle_beta 90.00
_cell_angle_gamma 90.00
loop_
_atom_site_label
_atom_site_fract_x
_atom_site_fract_y
_atom_site_fract_z
K1 0.1666 0.3334 0.0000
Cd1 0.0000 0.0000 0.5000
Sb1 0.1363 0.6363 0.5000

Record 8
# SCAN HgTeO3, PBEsol geometry
# ΔE_f (raw) (eV/atom): -0.81
data_HgTeO3
_space_group_name_H-M_alt 'P -1'
_space_group_IT_number 2
_cell_length_a 6.1225
_cell_length_b 7.3554
_cell_length_c 7.3724
_cell_angle_alpha 92.73
_cell_angle_beta 113.94
_cell_angle_gamma 92.05
loop_
_space_group_symop_operation_xyz
'x,y,z'
'-x,-y,-z'
loop_
_atom_site_label
_atom_site_fract_x
_atom_site_fract_y
_atom_site_fract_z
Hg1 0.0414 0.2217 0.3478
Hg2 0.4360 0.5601 0.7303
Te1 0.0022 0.3391 0.8295
Te2 0.4843 0.0249 0.7476
O1 0.2006 0.5466 0.9819
O2 0.2037 0.5147 0.3683
O3 0.2294 0.3122 0.6990
O4 0.2564 0.9517 0.4851
O5 0.2733 0.9410 0.8634
O6 0.3443 0.1987 0.2061

Record 9
# SCAN Y2CuGe6, PBEsol geometry
# ΔE_f (meV/atom): -493
data_Y2CuGe6
_space_group_name_H-M_alt 'A m m 2'
_space_group_IT_number 38
_cell_length_a 4.0404
_cell_length_b 3.9829
_cell_length_c 21.1093
_cell_angle_alpha 90.00
_cell_angle_beta 90.00
_cell_angle_gamma 90.00
loop_
_space_group_symop_operation_xyz
'x,y,z'
'-x,-y,z'
'-x,y,z'
'x,-y,z'
'x,y+1/2,z+1/2'
'-x,-y+1/2,z+1/2'
'-x,y+1/2,z+1/2'
'x,-y+1/2,z+1/2'
loop_
_atom_site_label
_atom_site_fract_x
_atom_site_fract_y
_atom_site_fract_z
Y1 0.0000 0.0000 0.0000
Y2 0.0000 0.0000 0.3366
Cu1 0.5000 0.0000 0.7803
Ge1 0.0000 0.0000 0.6032
Ge2 0.0000 0.0000 0.7198
Ge3 0.5000 0.0000 0.1025
Ge4 0.5000 0.0000 0.2192
Ge5 0.5000 0.0000 0.4619
Ge6 0.5000 0.0000 0.8891

Record 10
# SCAN Mg2InSb, PBEsol geometry
# ΔE_f (raw) (eV/atom): -0.17
data_Mg2InSb
_space_group_name_H-M_alt 'I -4 m 2'
_space_group_IT_number 119
_space_group_name_Hall 'I -4 -2'
_cell_length_a 4.2755
_cell_length_b 4.2755
_cell_length_c 10.1881
_cell_angle_alpha 90.00
_cell_angle_beta 90.00
_cell_angle_gamma 90.00
loop_
_atom_site_label
_atom_site_fract_x
_atom_site_fract_y
_atom_site_fract_z
Mg1 0.0000 0.0000 0.0000
Mg2 0.0000 0.5000 0.2500
In1 0.0000 0.5000 0.7500
Sb1 0.0000 0.0000 0.5000

Record 11
# SCAN ZrInCl2, PBEsol geometry
# ΔE_f (raw) (eV/atom): -0.90
data_ZrInCl2
_space_group_name_H-M_alt 'C m m 2'
_space_group_IT_number 35
_cell_length_a 3.3923
_cell_length_b 5.8106
_cell_length_c 9.4516
_cell_angle_alpha 90.00
_cell_angle_beta 90.00
_cell_angle_gamma 90.00
loop_
_space_group_symop_operation_xyz
'x,y,z'
'-x,-y,z'
'-x,y,z'
'x,-y,z'
'x+1/2,y+1/2,z'
'-x+1/2,-y+1/2,z'
'-x+1/2,y+1/2,z'
'x+1/2,-y+1/2,z'
loop_
_atom_site_label
_atom_site_fract_x
_atom_site_fract_y
_atom_site_fract_z
Zr1 0.0000 0.0000 0.0000
In1 0.0000 0.5000 0.7429
Cl1 0.0000 0.0000 0.5378
Cl2 0.0000 0.5000 0.1995

Record 12
# SCAN Rb3LaB, PBEsol geometry
# ΔE_f (meV/atom): 1768
data_Rb3LaB
_space_group_name_H-M_alt 'P m -3 m'
_space_group_IT_number 221
_space_group_name_Hall '-P 4 2 3'
_cell_length_a 6.9175
_cell_length_b 6.9175
_cell_length_c 6.9175
_cell_angle_alpha 90.00
_cell_angle_beta 90.00
_cell_angle_gamma 90.00
loop_
_atom_site_label
_atom_site_fract_x
_atom_site_fract_y
_atom_site_fract_z
Rb1 0.0000 0.0000 0.5000
La1 0.0000 0.0000 0.0000
B1 0.5000 0.5000 0.5000

Record 13
# SCAN TeMo3O, PBEsol geometry
# ΔE_f (raw) (eV/atom): 0.07
data_TeMo3O
_space_group_name_H-M_alt 'P m -3 m'
_space_group_IT_number 221
_space_group_name_Hall '-P 4 2 3'
_cell_length_a 4.1596
_cell_length_b 4.1596
_cell_length_c 4.1596
_cell_angle_alpha 90.00
_cell_angle_beta 90.00
_cell_angle_gamma 90.00
loop_
_atom_site_label
_atom_site_fract_x
_atom_site_fract_y
_atom_site_fract_z
Te1 0.0000 0.0000 0.0000
Mo1 0.0000 0.5000 0.5000
O1 0.5000 0.5000 0.5000

Record 14
# SCAN CSe2, PBEsol geometry
# ΔE_f (raw) (eV/atom): 1.50
data_CSe2
_space_group_name_H-M_alt 'R -3 m'
_space_group_IT_number 166
_space_group_name_Hall '-R 3 2"'
_cell_length_a 3.0487
_cell_length_b 3.0487
_cell_length_c 18.1397
_cell_angle_alpha 90.00
_cell_angle_beta 90.00
_cell_angle_gamma 120.00
loop_
_atom_site_label
_atom_site_fract_x
_atom_site_fract_y
_atom_site_fract_z
C1 0.0000 0.0000 0.0000
Se1 0.0000 0.0000 0.2575

Record 15
# SCAN BaMgCd2, PBEsol geometry
# ΔE_f (meV/atom): -191
data_BaMgCd2
_space_group_name_H-M_alt 'A m m 2'
_space_group_IT_number 38
_cell_length_a 4.7849
_cell_length_b 3.7009
_cell_length_c 13.3357
_cell_angle_alpha 90.00
_cell_angle_beta 90.00
_cell_angle_gamma 90.00
loop_
_space_group_symop_operation_xyz
'x,y,z'
'-x,-y,z'
'-x,y,z'
'x,-y,z'
'x,y+1/2,z+1/2'
'-x,-y+1/2,z+1/2'
'-x,y+1/2,z+1/2'
'x,-y+1/2,z+1/2'
loop_
_atom_site_label
_atom_site_fract_x
_atom_site_fract_y
_atom_site_fract_z
Ba1 0.0000 0.0000 0.0000
Mg1 0.5000 0.0000 0.6900
Cd1 0.0000 0.0000 0.2562
Cd2 0.5000 0.0000 0.3737

Record 16
# SCAN Ni5Mo12As18, PBEsol geometry
# ΔE_f (meV/atom): -307
data_Ni5Mo12As18
_space_group_name_H-M_alt 'C 1 2/m 1'
_space_group_IT_number 12
_cell_length_a 12.9775
_cell_length_b 3.3055
_cell_length_c 26.1012
_cell_angle_alpha 90.00
_cell_angle_beta 103.74
_cell_angle_gamma 90.00
loop_
_space_group_symop_operation_xyz
'x,y,z'
'-x,-y,-z'
'-x,y,-z'
'x,-y,z'
'x+1/2,y+1/2,z'
'-x+1/2,-y+1/2,-z'
'-x+1/2,y+1/2,-z'
'x+1/2,-y+1/2,z'
loop_
_atom_site_label
_atom_site_fract_x
_atom_site_fract_y
_atom_site_fract_z
Ni1 0.0000 0.0000 0.0000
Ni2 0.1662 0.5000 0.1715
Ni3 0.1756 0.5000 0.6662
Mo1 0.0447 0.5000 0.3804
Mo2 0.0500 0.5000 0.8728
Mo3 0.1060 0.0000 0.2935
Mo4 0.1221 0.0000 0.7911
Mo5 0.2191 0.0000 0.0427
Mo6 0.2201 0.0000 0.5383
As1 0.0454 0.5000 0.7164
As2 0.0590 0.0000 0.1924
As3 0.0834 0.5000 0.0662
As4 0.0931 0.0000 0.6004
As5 0.0932 0.5000 0.4836
As6 0.1279 0.0000 0.9471
As7 0.1973 0.0000 0.3883
As8 0.2327 0.5000 0.8564
As9 0.2419 0.5000 0.2694

Record 17
# SCAN CrCo3, PBEsol geometry
# ΔE_f (meV/atom): 132
data_CrCo3
_space_group_name_H-M_alt 'P m m n'
_space_group_IT_number 59
_cell_length_a 3.8933
_cell_length_b 4.9018
_cell_length_c 4.2527
_cell_angle_alpha 90.00
_cell_angle_beta 90.00
_cell_angle_gamma 90.00
loop_
_space_group_symop_operation_xyz
'x,y,z'
'-x,-y,-z'
'-x+1/2,-y+1/2,z'
'x+1/2,y+1/2,-z'
'x+1/2,-y,-z'
'-x+1/2,y,z'
'-x,y+1/2,-z'
'x,-y+1/2,z'
loop_
_atom_site_label
_atom_site_fract_x
_atom_site_fract_y
_atom_site_fract_z
Cr1 0.2500 0.2500 0.1651
Co1 0.2500 0.0009 0.6686
Co2 0.2500 0.7500 0.1693

Record 18
# SCAN Nd3ReO7, PBEsol geometry
# ΔE_f (raw) (eV/atom): -3.08
data_Nd3ReO7
_space_group_name_H-M_alt 'C m c m'
_space_group_IT_number 63
_space_group_name_Hall '-C 2c 2'
_cell_length_a 10.8862
_cell_length_b 7.4108
_cell_length_c 7.5326
_cell_angle_alpha 90.00
_cell_angle_beta 90.00
_cell_angle_gamma 90.00
loop_
_atom_site_label
_atom_site_fract_x
_atom_site_fract_y
_atom_site_fract_z
Nd1 0.0000 0.0000 0.0000
Nd2 0.2260 0.3037 0.2500
Re1 0.0000 0.5000 0.0000
O1 0.0000 0.4500 0.2500
O2 0.1255 0.3092 0.5338
O3 0.1307 0.0272 0.2500

Record 19
# SCAN OsBrCl2, PBEsol geometry
# ΔE_f (raw) (eV/atom): 1.53
data_OsBrCl2
_space_group_name_H-M_alt 'C m m m'
_space_group_IT_number 65
_space_group_name_Hall '-C 2 2'
_cell_length_a 5.7934
_cell_length_b 8.0397
_cell_length_c 2.9283
_cell_angle_alpha 90.00
_cell_angle_beta 90.00
_cell_angle_gamma 90.00
loop_
_atom_site_label
_atom_site_fract_x
_atom_site_fract_y
_atom_site_fract_z
Os1 0.0000 0.0000 0.0000
Br1 0.0000 0.5000 0.0000
Cl1 0.2500 0.2500 0.5000

Record 20
# SCAN KHoW2O8, PBEsol geometry
# ΔE_f (raw) (eV/atom): -2.75
data_KHoW2O8
_space_group_name_H-M_alt 'C 1 2/c 1'
_space_group_IT_number 15
_cell_length_a 10.6261
_cell_length_b 10.3600
_cell_length_c 7.4479
_cell_angle_alpha 90.00
_cell_angle_beta 130.71
_cell_angle_gamma 90.00
loop_
_space_group_symop_operation_xyz
'x,y,z'
'-x,-y,-z'
'-x,y,-z+1/2'
'x,-y,z+1/2'
'x+1/2,y+1/2,z'
'-x+1/2,-y+1/2,-z'
'-x+1/2,y+1/2,-z+1/2'
'x+1/2,-y+1/2,z+1/2'
loop_
_atom_site_label
_atom_site_fract_x
_atom_site_fract_y
_atom_site_fract_z
K1 0.0000 0.2042 0.2500
Ho1 0.0000 0.2282 0.7500
W1 0.1977 0.4985 0.7330
O1 0.0218 0.3904 0.9700
O2 0.1249 0.0850 0.6862
O3 0.1921 0.4277 0.4486
O4 0.2218 0.1590 0.1223

Result set for N(E_F): 14.25; 6.07; 8.88; 1.57; 7.44; 2.02; 1.59; 0.00; 4.23; 2.66; 4.40; 6.98; 3.42; 4.72; 5.44; 29.71; 6.60; 10.51; 7.98; 0.00 states/eV per cell, one per record in the order listed.